# 1
VASP calculation (PBE) on a relaxed structure of Ca3PmY3Se8.

Calculated values
- E_tot: -86.80 eV/f.u.
- Formation energy from raw total energies: -1919 meV/atom
- Volume: 26.8 Å³ per atom
- Crystal system: trigonal

abc: 8.3334 8.3334 8.3334
angles: 59.23 59.23 59.23
Fractional positions:
Ca: 0.0000 0.5000 0.5000
Ca: 0.5000 0.0000 0.5000
Ca: 0.5000 0.5000 0.0000
Pm: 0.5000 0.5000 0.5000
Y: 0.0000 0.0000 0.5000
Y: 0.0000 0.5000 0.0000
Y: 0.5000 0.0000 0.0000
Se: 0.2423 0.7523 0.7523
Se: 0.2484 0.2484 0.2484
Se: 0.2477 0.2477 0.7577
Se: 0.2477 0.7577 0.2477
Se: 0.7523 0.2423 0.7523
Se: 0.7523 0.7523 0.2423
Se: 0.7516 0.7516 0.7516
Se: 0.7577 0.2477 0.2477


# 2
VASP calculation (PBE) on a relaxed structure of YHo2Cu.

Calculated values
- E_tot: -20.13 eV/f.u.
- Excess energy over the best structure of this formula in the dataset: 12 meV per atom
- Volume: 26.3 Å³ per atom
- Formation energy: -0.1029 eV per atom
- Crystal system: tetragonal

abc: 3.4779 3.4779 8.6977
angles: 90.00 90.00 90.00
Fractional positions:
Y: 0.0000 0.0000 0.0000
Ho: 0.5000 0.5000 0.3037
Ho: 0.5000 0.5000 0.6963
Cu: 0.0000 0.0000 0.5000


# 3
VASP calculation (PBE) on a relaxed structure of LiY2NbRh.

Calculated values
- E_tot: -31.21 eV/f.u.
- Volume: 28.8 Å³ per atom
- Formation energy: 0.2107 eV per atom
- Crystal system: tetragonal

abc: 5.4410 5.4410 4.8571
angles: 90.00 90.00 90.00
Fractional positions:
Li: 0.0000 0.0000 0.0000
Y: 0.0000 0.5000 0.5000
Y: 0.5000 0.0000 0.5000
Nb: 0.5000 0.5000 0.0000
Rh: 0.5000 0.5000 0.5000


For each record above, in turn, the calculated D(E_F) values are 4.88, 5.17, 5.08 states/eV/f.u..
For each record above, in turn, the calculated total moment values are 0.0, 0.0, 1.5 μB/f.u..